Record 1
ZrV2H4: relaxed, PBE.

Computed properties:
The space-group type is No. 74. The calculation puts the total energy at -6.075 eV per atom.

Cell and atoms, written as POSCAR:
```
ZrV2H4
1.0
-2.7683 2.7729 3.9240
2.7683 -2.7729 3.9240
2.7683 2.7729 -3.9240
Zr V H
2 4 8
Direct
0.3759 0.1259 0.2500
0.6241 0.8741 0.7500
0.0000 0.0000 0.5000
0.0000 0.5000 0.0000
0.0000 0.5000 0.5000
0.5000 0.5000 0.0000
0.1858 0.7284 0.4574
0.2287 0.2709 0.5422
0.2291 0.2716 0.9574
0.2287 0.6864 0.9578
0.7713 0.3136 0.0422
0.7709 0.7284 0.0426
0.7713 0.7291 0.4578
0.8142 0.2716 0.5426
```


Record 2
TaCdPt: relaxed, PBE.

Computed properties:
As for the formation enthalpy at 0 K: -0.12 eV/atom. The space-group type is No. 156. The calculation puts the total energy at -6.390 eV per atom.

Cell and atoms, written as POSCAR:
```
TaCdPt
1.0
4.6453 0.0000 0.0000
-2.3226 4.0229 0.0000
0.0000 0.0000 2.8055
Ta Cd Pt
1 1 1
Direct
0.0000 0.0000 0.0000
0.3333 0.6667 0.5000
0.6667 0.3333 0.5018
```


Record 3
Y6PbAu2Se3: relaxed, PBE.

Computed properties:
The space-group type is No. 12. The calculation puts the total energy at -6.184 eV per atom. The formation energy without anion corrections is -1.226 eV/atom.

Cell and atoms, written as POSCAR:
```
Y6PbAu2Se3
1.0
9.3878 -2.0205 0.0000
9.3878 2.0205 0.0000
-2.7566 0.0000 8.2563
Y Pb Au Se
6 1 2 3
Direct
0.0021 0.0021 0.2673
0.3263 0.3263 0.9066
0.3356 0.3356 0.4102
0.6644 0.6644 0.5898
0.6737 0.6737 0.0934
0.9979 0.9979 0.7327
0.5000 0.5000 0.0000
0.1722 0.1722 0.3455
0.8278 0.8278 0.6545
0.1629 0.1629 0.8387
0.5000 0.5000 0.5000
0.8371 0.8371 0.1613
```


Record 4
ZnMoCl2: relaxed, PBE.

Computed properties:
For the excess energy over the best structure of this formula in the dataset, the calculation gives 0.093 eV per atom. The space-group type is No. 12. The calculation puts the total energy at -4.179 eV per atom. The formation energy without anion corrections is -0.230 eV/atom.

Cell and atoms, written as POSCAR:
```
ZnMoCl2
1.0
7.4108 -1.4891 0.0000
7.4108 1.4891 0.0000
-1.4606 0.0000 4.4465
Zn Mo Cl
1 1 2
Direct
0.0000 0.0000 0.0000
0.5000 0.5000 0.5000
0.1412 0.1412 0.6403
0.8588 0.8588 0.3597
```


Record 5
Ho3InS: relaxed, PBE.

Computed properties:
For the excess energy over the best structure of this formula in the dataset, the calculation gives 0.147 eV per atom. The space-group type is No. 221. The calculation puts the total energy at -4.984 eV per atom. The formation energy without anion corrections is -0.864 eV/atom.

Cell and atoms, written as POSCAR:
```
Ho3InS
1.0
5.1295 0.0000 0.0000
0.0000 5.1295 0.0000
0.0000 0.0000 5.1295
Ho In S
3 1 1
Direct
0.0000 0.0000 0.5000
0.0000 0.5000 0.0000
0.5000 0.0000 0.0000
0.5000 0.5000 0.5000
0.0000 0.0000 0.0000
```


Record 6
NiBAu: relaxed, PBE.

Computed properties:
As for the formation enthalpy at 0 K: 0.24 eV/atom. The space-group type is No. 156. The calculation puts the total energy at -5.009 eV per atom.

Cell and atoms, written as POSCAR:
```
NiBAu
1.0
3.2698 0.0000 0.0000
-1.6349 2.8317 0.0000
0.0000 0.0000 3.9424
Ni B Au
1 1 1
Direct
0.0000 0.0000 0.0000
0.3333 0.6667 0.1645
0.6667 0.3333 0.5087
```


Record 7
SiPAu2: relaxed, PBE.

Computed properties:
For the excess energy over the best structure of this formula in the dataset, the calculation gives 0.297 eV per atom. The space-group type is No. 99. The calculation puts the total energy at -3.990 eV per atom. The formation energy without anion corrections is 0.357 eV/atom.

Cell and atoms, written as POSCAR:
```
SiPAu2
1.0
2.9859 0.0000 0.0000
0.0000 2.9859 0.0000
0.0000 0.0000 7.4717
Si P Au
1 1 2
Direct
0.0000 0.0000 0.0000
0.5000 0.5000 0.8083
0.0000 0.0000 0.5305
0.5000 0.5000 0.2417
```


Record 8
ThCdIn: relaxed, PBE.

Computed properties:
As for the formation enthalpy at 0 K: -0.25 eV/atom. The space-group type is No. 44. The calculation puts the total energy at -3.946 eV per atom.

Cell and atoms, written as POSCAR:
```
ThCdIn
1.0
-2.4850 3.7153 4.3192
2.4850 -3.7153 4.3192
2.4850 3.7153 -4.3192
Th Cd In
2 2 2
Direct
0.0000 0.0000 0.0000
0.5414 0.0414 0.5000
0.1417 0.3537 0.7880
0.5657 0.3537 0.2120
0.4156 0.6852 0.7305
0.9547 0.6852 0.2695
```


Record 9
SeBrCl3: relaxed, PBE.

Computed properties:
For the excess energy over the best structure of this formula in the dataset, the calculation gives 0.432 eV per atom. The space-group type is No. 221. The calculation puts the total energy at -1.976 eV per atom. The formation energy without anion corrections is 0.164 eV/atom.

Cell and atoms, written as POSCAR:
```
SeBrCl3
1.0
5.0484 0.0000 0.0000
0.0000 5.0484 0.0000
0.0000 0.0000 5.0484
Se Br Cl
1 1 3
Direct
0.0000 0.0000 0.0000
0.5000 0.5000 0.5000
0.0000 0.0000 0.5000
0.0000 0.5000 0.0000
0.5000 0.0000 0.0000
```


Record 10
TbNbC2: relaxed, PBE.

Computed properties:
For the excess energy over the best structure of this formula in the dataset, the calculation gives 0.000 eV per atom. As for the formation enthalpy at 0 K: -0.38 eV/atom. The space-group type is No. 166. The calculation puts the total energy at -8.664 eV per atom.

Cell and atoms, written as POSCAR:
```
TbNbC2
1.0
1.6626 0.9599 5.6288
-1.6626 0.9599 5.6288
0.0000 -1.9198 5.6288
Tb Nb C
1 1 2
Direct
0.0000 0.0000 0.0000
0.5000 0.5000 0.5000
0.2393 0.2393 0.2393
0.7607 0.7607 0.7607
```


Record 11
Li8ZnSb2: relaxed, PBE.

Computed properties:
The space-group type is No. 12. The calculation puts the total energy at -2.674 eV per atom. The formation energy without anion corrections is -0.417 eV/atom.

Cell and atoms, written as POSCAR:
```
Li8ZnSb2
1.0
7.1030 -2.2799 0.0000
7.1030 2.2799 0.0000
-3.9750 0.0000 6.3884
Li Zn Sb
8 1 2
Direct
0.0006 0.0006 0.3071
0.1484 0.1484 0.1461
0.3432 0.3432 0.5497
0.3445 0.3445 0.1381
0.6555 0.6555 0.8619
0.6568 0.6568 0.4503
0.8516 0.8516 0.8539
0.9994 0.9994 0.6929
0.5000 0.5000 0.0000
0.1985 0.1985 0.6994
0.8015 0.8015 0.3006
```


Record 12
MnCd2Co: relaxed, PBE.

Computed properties:
For the excess energy over the best structure of this formula in the dataset, the calculation gives 0.181 eV per atom. As for the formation enthalpy at 0 K: 0.33 eV/atom. The space-group type is No. 225. The calculation puts the total energy at -4.196 eV per atom.

Cell and atoms, written as POSCAR:
```
MnCd2Co
1.0
0.0000 3.2029 3.2029
3.2029 0.0000 3.2029
3.2029 3.2029 0.0000
Mn Cd Co
1 2 1
Direct
0.0000 0.0000 0.0000
0.2500 0.2500 0.2500
0.7500 0.7500 0.7500
0.5000 0.5000 0.5000
```


Record 13
Er4Ga2Ag: relaxed, PBE.

Computed properties:
For the excess energy over the best structure of this formula in the dataset, the calculation gives 0.000 eV per atom. As for the formation enthalpy at 0 K: -0.38 eV/atom. The space-group type is No. 166. The calculation puts the total energy at -4.256 eV per atom.

Cell and atoms, written as POSCAR:
```
Er4Ga2Ag
1.0
2.5013 1.4441 8.0927
-2.5013 1.4441 8.0927
0.0000 -2.8883 8.0927
Er Ga Ag
4 2 1
Direct
0.1204 0.1204 0.1204
0.3717 0.3717 0.3717
0.6283 0.6283 0.6283
0.8796 0.8796 0.8796
0.2506 0.2506 0.2506
0.7494 0.7494 0.7494
0.5000 0.5000 0.5000
```


Record 14
Ac6TlTe2Se3: relaxed, PBE.

Computed properties:
The space-group type is No. 12. The calculation puts the total energy at -5.126 eV per atom. The formation energy without anion corrections is -1.480 eV/atom.

Cell and atoms, written as POSCAR:
```
Ac6TlTe2Se3
1.0
10.0997 -2.2753 0.0000
10.0997 2.2753 0.0000
-2.0902 0.0000 9.1456
Ac Tl Te Se
6 1 2 3
Direct
0.0029 0.0029 0.2424
0.3324 0.3324 0.4316
0.3403 0.3403 0.9056
0.6597 0.6597 0.0944
0.6676 0.6676 0.5684
0.9971 0.9971 0.7576
0.5000 0.5000 0.5000
0.1697 0.1697 0.8368
0.8303 0.8303 0.1632
0.1687 0.1687 0.3310
0.5000 0.5000 0.0000
0.8313 0.8313 0.6690
```


Record 15
LaFeSi2: relaxed, PBE.

Computed properties:
The space-group type is No. 123. The calculation puts the total energy at -5.980 eV per atom. The formation energy without anion corrections is 0.079 eV/atom.

Cell and atoms, written as POSCAR:
```
LaFeSi2
1.0
4.2456 0.0000 0.0000
0.0000 4.2456 0.0000
0.0000 0.0000 4.2833
La Fe Si
1 1 2
Direct
0.0000 0.0000 0.0000
0.5000 0.5000 0.0000
0.0000 0.5000 0.5000
0.5000 0.0000 0.5000
```


Record 16
Pa2IrF: relaxed, PBE.

Computed properties:
The space-group type is No. 166. The calculation puts the total energy at -8.655 eV per atom. The formation energy without anion corrections is -1.224 eV/atom.

Cell and atoms, written as POSCAR:
```
Pa2IrF
1.0
1.9039 1.0992 8.0143
-1.9039 1.0992 8.0143
0.0000 -2.1984 8.0143
Pa Ir F
2 1 1
Direct
0.0962 0.0962 0.0962
0.9038 0.9038 0.9038
0.5000 0.5000 0.5000
0.0000 0.0000 0.0000
```


Record 17
DyTmScAl: relaxed, PBE.

Computed properties:
For the excess energy over the best structure of this formula in the dataset, the calculation gives 0.093 eV per atom. As for the formation enthalpy at 0 K: -0.11 eV/atom. The space-group type is No. 216. The calculation puts the total energy at -4.894 eV per atom.

Cell and atoms, written as POSCAR:
```
DyTmScAl
1.0
0.0000 3.6792 3.6792
3.6792 0.0000 3.6792
3.6792 3.6792 0.0000
Dy Tm Sc Al
1 1 1 1
Direct
0.0000 0.0000 0.0000
0.5000 0.5000 0.5000
0.7500 0.7500 0.7500
0.2500 0.2500 0.2500
```


Record 18
Ce2PrI8: relaxed, PBE.

Computed properties:
The space-group type is No. 164. The calculation puts the total energy at -3.828 eV per atom. The formation energy without anion corrections is -1.187 eV/atom.

Cell and atoms, written as POSCAR:
```
Ce2PrI8
1.0
10.0096 0.0000 0.0000
-5.0048 8.6686 0.0000
0.0000 0.0000 6.4891
Ce Pr I
2 1 8
Direct
0.3333 0.6667 0.2206
0.6667 0.3333 0.7794
0.0000 0.0000 0.0000
0.1545 0.3091 0.2586
0.1545 0.8455 0.2586
0.3091 0.1545 0.7414
0.3333 0.6667 0.7304
0.6667 0.3333 0.2696
0.6909 0.8455 0.2586
0.8455 0.1545 0.7414
0.8455 0.6909 0.7414
```


Record 19
K3Ga2Se4: relaxed, PBE.

Computed properties:
The space-group type is No. 15. The calculation puts the total energy at -3.503 eV per atom. The formation energy without anion corrections is -0.916 eV/atom.

Cell and atoms, written as POSCAR:
```
K3Ga2Se4
1.0
6.7702 -5.4857 0.0000
6.7702 5.4857 0.0000
-0.9237 0.0000 7.9188
K Ga Se
6 4 8
Direct
0.1093 0.8907 0.7500
0.2354 0.4981 0.3992
0.4981 0.2354 0.8992
0.5019 0.7646 0.1008
0.7646 0.5019 0.6008
0.8907 0.1093 0.2500
0.0865 0.3227 0.9261
0.3227 0.0865 0.4261
0.6773 0.9135 0.5739
0.9135 0.6773 0.0739
0.1121 0.2331 0.6080
0.1925 0.5725 0.9914
0.2331 0.1121 0.1080
0.4275 0.8075 0.5086
0.5725 0.1925 0.4914
0.7669 0.8879 0.8920
0.8075 0.4275 0.0086
0.8879 0.7669 0.3920
```


Record 20
TmNi6Ge4: relaxed, PBE.

Computed properties:
As for the formation enthalpy at 0 K: -0.49 eV/atom. The space-group type is No. 187. The calculation puts the total energy at -5.728 eV per atom.

Cell and atoms, written as POSCAR:
```
TmNi6Ge4
1.0
6.8243 0.0000 0.0000
-3.4122 5.9100 0.0000
0.0000 0.0000 3.7437
Tm Ni Ge
1 6 4
Direct
0.0000 0.0000 0.0000
0.2046 0.4091 0.5000
0.2046 0.7954 0.5000
0.5368 0.0735 0.0000
0.5368 0.4632 0.0000
0.5909 0.7954 0.5000
0.9265 0.4632 0.0000
0.3333 0.6667 0.0000
0.3818 0.1909 0.5000
0.8091 0.1909 0.5000
0.8091 0.6182 0.5000
```


Record 21
ScTaRu: relaxed, PBE.

Computed properties:
For the excess energy over the best structure of this formula in the dataset, the calculation gives 0.075 eV per atom. As for the formation enthalpy at 0 K: -0.33 eV/atom. The space-group type is No. 107. The calculation puts the total energy at -9.484 eV per atom.

Cell and atoms, written as POSCAR:
```
ScTaRu
1.0
-1.5960 1.5960 5.1715
1.5960 -1.5960 5.1715
1.5960 1.5960 -5.1715
Sc Ta Ru
1 1 1
Direct
0.0000 0.0000 0.0000
0.6910 0.6910 0.0000
0.3301 0.3301 0.0000
```


Record 22
Tb4Sm6Mg: relaxed, PBE.

Computed properties:
As for the formation enthalpy at 0 K: 0.27 eV/atom. The space-group type is No. 121. The calculation puts the total energy at -4.132 eV per atom.

Cell and atoms, written as POSCAR:
```
Tb4Sm6Mg
1.0
-3.2693 3.2693 8.5806
3.2693 -3.2693 8.5806
3.2693 3.2693 -8.5806
Tb Sm Mg
4 6 1
Direct
0.0100 0.6441 0.0000
0.3559 0.3559 0.3659
0.6441 0.0100 0.0000
0.9900 0.9900 0.6341
0.0000 0.5000 0.5000
0.1953 0.1953 0.6541
0.4588 0.8047 0.0000
0.5000 0.0000 0.5000
0.5412 0.5412 0.3459
0.8047 0.4588 0.0000
0.0000 0.0000 0.0000
```


Record 23
Er4CoBi2: relaxed, PBE.

Computed properties:
For the excess energy over the best structure of this formula in the dataset, the calculation gives 0.028 eV per atom. As for the formation enthalpy at 0 K: -0.47 eV/atom. The space-group type is No. 139. The calculation puts the total energy at -5.200 eV per atom.

Cell and atoms, written as POSCAR:
```
Er4CoBi2
1.0
-2.4696 2.4696 8.1549
2.4696 -2.4696 8.1549
2.4696 2.4696 -8.1549
Er Co Bi
4 1 2
Direct
0.0000 0.5000 0.5000
0.1649 0.1649 0.0000
0.5000 0.0000 0.5000
0.8351 0.8351 0.0000
0.0000 0.0000 0.0000
0.3574 0.3574 0.0000
0.6426 0.6426 0.0000
```


Record 24
SrInRh: relaxed, PBE.

Computed properties:
As for the formation enthalpy at 0 K: -0.41 eV/atom. The space-group type is No. 74. The calculation puts the total energy at -4.330 eV per atom.

Cell and atoms, written as POSCAR:
```
SrInRh
1.0
-3.0506 3.0508 3.7543
3.0506 -3.0508 3.7543
3.0506 3.0508 -3.7543
Sr In Rh
2 2 2
Direct
0.3502 0.1002 0.2500
0.6498 0.8998 0.7500
0.0000 0.5000 0.5000
0.5000 0.5000 0.0000
0.0000 0.0000 0.5000
0.0000 0.5000 0.0000
```


Record 25
Y2TiCl: relaxed, PBE.

Computed properties:
For the excess energy over the best structure of this formula in the dataset, the calculation gives 0.209 eV per atom. The space-group type is No. 122. The calculation puts the total energy at -5.332 eV per atom. The formation energy without anion corrections is 0.335 eV/atom.

Cell and atoms, written as POSCAR:
```
Y2TiCl
1.0
-2.3486 2.3486 9.8727
2.3486 -2.3486 9.8727
2.3486 2.3486 -9.8727
Y Ti Cl
4 2 2
Direct
0.1092 0.6250 0.9842
0.3750 0.3592 0.4842
0.6408 0.1250 0.0158
0.8750 0.8908 0.5158
0.2500 0.7500 0.5000
0.5000 0.5000 0.0000
0.0000 0.0000 0.0000
0.7500 0.2500 0.5000
```


Record 26
CaCdBr2: relaxed, PBE.

Computed properties:
For the excess energy over the best structure of this formula in the dataset, the calculation gives 0.324 eV per atom. The space-group type is No. 225. The calculation puts the total energy at -2.617 eV per atom. The formation energy without anion corrections is -1.051 eV/atom.

Cell and atoms, written as POSCAR:
```
CaCdBr2
1.0
0.0000 3.8478 3.8478
3.8478 0.0000 3.8478
3.8478 3.8478 0.0000
Ca Cd Br
1 1 2
Direct
0.0000 0.0000 0.0000
0.5000 0.5000 0.5000
0.2500 0.2500 0.2500
0.7500 0.7500 0.7500
```